! Pm7Pt2O2 | Alexandria via LeMat-Bulk | PBE | relaxed; values from VASP
&SYSTEM
  ibrav = 0, nat = 11, ntyp = 3
/
ATOMIC_SPECIES
O 16.00 O.upf
Pm 145.00 Pm.upf
Pt 195.08 Pt.upf
CELL_PARAMETERS angstrom
6.974 -0.560 -1.690
-0.497 6.516 0.473
-2.121 0.555 6.855
ATOMIC_POSITIONS crystal
O 0.195 0.010 0.805
O 0.805 0.990 0.195
Pm 0.463 0.753 0.037
Pm 0.457 0.735 0.543
Pm 0.537 0.247 0.963
Pm 0.037 0.247 0.463
Pm 0.543 0.265 0.457
Pm 0.000 0.000 0.000
Pm 0.963 0.753 0.537
Pt 0.184 0.500 0.184
Pt 0.816 0.500 0.816
! * uncorrected formation energy: -1200 meV/atom
! * calculated density: 8.4 g cm⁻³
! * E_tot: -68.4 eV/f.u.